# 1
! Sn13O10F6 SCAN PBEsol geometry; values from VASP
! ΔE_f (raw) (eV per atom): -1.573
! E_tot (eV/atom): -20.557
&SYSTEM
  ibrav = 0, nat = 58, ntyp = 3
/
ATOMIC_SPECIES
O 16.00 O.upf
Sn 118.71 Sn.upf
F 19.00 F.upf
CELL_PARAMETERS angstrom
7.007 -0.001 0.006
-3.505 7.424 -0.016
0.018 -1.424 22.127
ATOMIC_POSITIONS angstrom
O 4.663 4.183 11.453
O 2.466 4.080 19.877
Sn 1.642 0.564 0.475
Sn 2.962 2.065 20.879
Sn -1.409 4.992 15.627
Sn 6.130 1.178 2.984
O 3.152 7.295 1.290
O -2.047 3.653 14.126
O 6.655 -0.593 9.770
F -0.386 1.010 16.087
Sn -0.796 4.401 7.569
Sn 5.872 -1.062 16.597
O -3.135 6.591 12.347
F 0.417 1.708 5.021
O 1.054 1.918 2.239
O 5.567 2.346 7.991
F 3.906 4.988 6.030
O 3.213 6.746 3.975
O -2.455 4.784 8.807
F 0.099 4.114 9.468
Sn 1.435 5.687 4.568
Sn 3.794 5.294 2.038
O -1.143 1.816 10.664
O 6.709 -0.050 7.083
Sn 0.803 3.706 18.642
F 3.421 1.885 12.648
Sn 1.878 5.435 21.641
F -0.091 3.409 20.539
Sn 2.717 2.292 3.475
Sn 0.287 1.406 9.008
O 2.074 4.348 3.068
F -0.517 6.081 14.110
Sn 4.063 2.771 9.828
O 2.355 4.892 0.389
Sn 5.376 -0.148 11.554
Sn 2.619 5.520 8.080
F 3.103 4.291 17.095
O 1.165 1.107 21.727
O 5.975 1.215 13.310
Sn 4.929 1.007 6.489
Sn 4.316 1.597 14.547
O 1.446 1.650 19.048
Sn 3.233 4.592 13.108
Sn -2.352 7.061 5.519
O 0.368 -1.297 20.827
Sn 2.085 0.312 17.548
Sn -0.542 3.228 12.288
O -3.189 6.048 15.033
O 0.307 -0.748 18.142
Sn -1.856 6.147 10.562
F 2.974 -0.775 19.070
F 0.546 6.773 3.046
F 4.037 -0.082 8.006
Sn -2.610 4.821 19.132
Sn -0.274 0.705 20.079
Sn 0.901 0.479 14.037
Sn 0.559 3.934 1.238
F 3.612 2.589 1.577



# 2
! Sn4OF6 SCAN PBEsol geometry; values from VASP
! ΔE_f (raw) (eV per atom): -2.135
! E_tot (eV/atom): -17.695
&SYSTEM
  ibrav = 0, nat = 44, ntyp = 3
/
ATOMIC_SPECIES
F 19.00 F.upf
Sn 118.71 Sn.upf
O 16.00 O.upf
CELL_PARAMETERS angstrom
4.993 0.000 0.000
0.000 10.419 0.000
0.000 0.000 15.858
ATOMIC_POSITIONS angstrom
F 3.270 4.995 1.307
F 3.205 8.063 8.572
F 4.219 5.424 9.236
F 4.285 2.355 0.643
Sn 0.225 5.536 11.105
F 4.197 7.558 11.280
Sn 0.685 8.456 1.449
Sn 2.675 3.235 12.934
F 3.235 2.135 11.143
Sn 2.352 6.094 8.211
F 4.255 8.284 3.214
Sn 2.318 8.444 10.853
F 0.796 2.348 12.507
F 3.667 2.335 8.449
F 1.723 10.204 6.622
Sn 2.271 4.882 3.176
F 0.774 0.215 14.551
F 1.585 3.983 9.903
F 1.171 2.874 7.409
O 3.380 1.456 13.722
Sn 3.181 7.173 14.409
O 0.884 3.754 2.136
F 1.701 8.070 4.578
Sn 2.722 10.092 4.753
Sn 4.815 7.184 5.005
O 1.613 6.665 10.065
F 3.822 8.084 0.520
Sn 4.768 0.327 12.682
F 0.911 6.436 1.974
F 0.708 7.565 7.286
Sn 2.641 0.884 15.576
F 0.738 3.074 4.715
Sn 4.848 9.534 7.647
Sn 0.178 1.974 2.924
F 4.082 1.226 5.955
Sn 0.145 4.325 0.282
Sn 4.308 3.246 6.480
F 3.292 2.861 3.351
F 3.408 9.192 13.884
F 1.326 7.544 15.338
O 4.109 8.963 5.793
F 1.788 2.854 15.215
Sn 1.812 1.963 9.378
F 1.758 7.345 12.644



# 3
! Sn9O4F10 SCAN PBEsol geometry; values from VASP
! ΔE_f (raw) (eV per atom): -1.862
! E_tot (eV/atom): -18.541
&SYSTEM
  ibrav = 0, nat = 46, ntyp = 3
/
ATOMIC_SPECIES
Sn 118.71 Sn.upf
O 16.00 O.upf
F 19.00 F.upf
CELL_PARAMETERS angstrom
-4.615 6.262 -0.293
-6.618 -4.583 6.287
4.885 3.976 8.041
ATOMIC_POSITIONS angstrom
Sn -1.713 0.190 2.198
Sn -2.584 4.705 7.810
Sn -1.307 0.950 12.049
O -4.325 3.321 8.165
O 1.022 7.217 7.222
Sn -5.105 2.769 6.140
Sn -5.907 4.402 9.150
F 0.827 3.957 8.854
O -2.230 1.957 1.079
O -3.251 4.001 5.792
F -1.612 2.230 10.352
F -0.075 1.543 3.006
Sn 0.265 1.937 8.388
Sn 1.988 5.230 7.102
F -5.602 3.122 10.848
F -3.048 -0.263 11.233
F -3.569 -1.938 3.127
Sn -3.285 -0.797 5.858
F -2.919 0.960 3.799
Sn 1.504 3.262 3.961
F -4.038 -1.145 7.974
F 0.915 2.425 6.266
F 0.000 0.000 0.000
F -2.563 4.998 3.072
F -1.912 7.897 3.744
Sn -3.768 5.768 4.674
F -6.742 2.142 7.862
F -1.511 7.510 8.646
F -0.866 -0.303 7.164
Sn -0.861 7.998 6.524
Sn -1.795 2.365 5.472
F -4.166 5.615 9.966
F -1.423 5.978 6.058
Sn -4.002 3.881 12.551
O -1.618 2.718 7.690
O -8.598 0.105 6.736
Sn -8.814 2.172 7.300
Sn -6.985 2.696 2.910
F -5.357 -0.767 5.297
Sn -6.994 -1.394 7.018
Sn -3.211 1.470 8.648
O -3.501 1.271 6.423
O -2.889 2.031 13.034
Sn -3.686 3.593 1.399
F -8.061 2.520 5.185
F -5.406 4.416 3.865